# Pr2MgCd3

Crystalline Pr2MgCd3 at its relaxed geometry (PBE, Alexandria via LeMat-Bulk).

Lattice parameters (Å, degrees): 6.197 6.197 9.565 101.46 101.46 112.75
Element x y z (fractional)
Pr1 0.250 0.750 0.500
Pr2 0.754 0.754 0.000
Pr3 0.750 0.250 0.500
Pr4 0.246 0.246 0.000
Mg1 0.667 0.667 0.334
Mg2 0.333 0.333 0.666
Cd1 0.335 0.832 0.167
Cd2 0.168 0.665 0.833
Cd3 0.665 0.168 0.833
Cd4 0.832 0.335 0.167
Cd5 0.168 0.168 0.335
Cd6 0.832 0.832 0.665

**ΔH_f (0 K)**: -0.30 eV/atom